First-principles (PBE with a Hubbard U) data for crystalline Ni3As2O8 at its relaxed geometry, as listed in Alexandria.

Cell: 6.0090 11.3874 8.2797 Å, 90.00 90.00 90.00°
Space group Cmce (No. 64)
Unique sites:
Ni 0.0000 0.0000 0.0000
Ni 0.2500 0.1341 0.2500
As 0.0000 0.1231 0.6152
O 0.0000 0.9996 0.2502
O 0.0000 0.2469 0.7339
O 0.2377 0.1207 0.4993

Calculated values
spin magnetization	23.8	Bohr magnetons per cell
energy	-288.976	eV/cell
ρ	5.32	g/cm3